Entry 1:
This record from Alexandria via LeMat-Bulk describes a relaxed ZrAlTc crystal. The functional is PBEsol.

Geometry as POSCAR:
```
ZrAlTc
1.0
2.9485 0.0000 0.0000
-1.4742 2.5534 0.0000
0.0000 0.0000 6.7549
Zr Al Tc
1 1 1
direct
0.0000 0.0000 0.0000
0.3333 0.6667 0.6298
0.6667 0.3333 0.3404
```

Values from the calculation:
ΔH_f (0 K)   0.013 eV/atom
Crystal system   trigonal
Calculated volume   50.9 Å³/cell
Total energy   -24.41 eV/f.u.
Space-group type   P3m1 (156)

Entry 2:
This record from Alexandria via LeMat-Bulk describes a relaxed CdPb2 crystal. The functional is PBEsol.

Geometry as POSCAR:
```
CdPb2
1.0
-3.7736 3.7736 2.8737
3.7736 -3.7736 2.8737
3.7736 3.7736 -2.8737
Cd Pb
2 4
direct
0.2500 0.2500 0.0000
0.7500 0.7500 0.0000
0.1553 0.6553 0.8106
0.3447 0.1553 0.5000
0.6553 0.8447 0.5000
0.8447 0.3447 0.1894
```

Values from the calculation:
ΔH_f (0 K)   0.034 eV/atom
Crystal system   tetragonal
Calculated volume   163.7 Å³/cell
Total energy   -9.09 eV/f.u.
Space-group type   I4/mcm (140)

> Which value of ΔH_f (0 K) does entry 2 give?

0.034 eV/atom

Copy entry 2 word for word.
This record from Alexandria via LeMat-Bulk describes a relaxed CdPb2 crystal. The functional is PBEsol.

Geometry as POSCAR:
```
CdPb2
1.0
-3.7736 3.7736 2.8737
3.7736 -3.7736 2.8737
3.7736 3.7736 -2.8737
Cd Pb
2 4
direct
0.2500 0.2500 0.0000
0.7500 0.7500 0.0000
0.1553 0.6553 0.8106
0.3447 0.1553 0.5000
0.6553 0.8447 0.5000
0.8447 0.3447 0.1894
```

Values from the calculation:
ΔH_f (0 K)   0.034 eV/atom
Crystal system   tetragonal
Calculated volume   163.7 Å³/cell
Total energy   -9.09 eV/f.u.
Space-group type   I4/mcm (140)